# 1
Hf4AlPt | GGA-PBE | optimized geometry

The structure in POSCAR format:
```
Hf4AlPt
1.0
5.2734 -0.2075 -1.3620
-3.2064 4.1918 -1.3620
0.1077 0.2075 5.4454
Hf Al Pt
4 1 1
Cartesian
-2.3478 3.8781 1.3607
2.8533 0.3137 0.0940
0.2827 2.5134 1.3607
3.5613 1.6784 2.6274
0.0000 0.0000 0.0000
1.0335 1.9921 -1.3620
```

Properties
The calculation puts the density at 12.98 g/cm3. Its space group is I422, No. 97. As for the polymorph energy (0 for the lowest one): 0.0 meV per atom. The density of states at the Fermi level is 0.9841 states/eV/atom.


# 2
HfAl3Pt2 | GGA-PBE | optimized geometry

The structure in POSCAR format:
```
HfAl3Pt2
1.0
-0.1616 -2.5236 -3.0785
4.8229 -3.6800 2.7635
-5.2738 -4.1494 3.6784
Al Pt Hf
6 4 2
Cartesian
-3.6895 -5.1222 1.8148
1.9833 -4.3963 0.9219
0.4924 -6.0511 4.9346
-2.5501 -5.4792 4.6255
0.1311 -2.5981 2.1229
4.1693 -3.9297 3.0026
-1.0664 -7.7417 3.8245
-2.1232 -3.4880 2.9708
1.6063 -4.2910 3.4333
0.5810 -2.7083 -0.3882
-0.5831 -5.6263 2.0650
-2.1415 -3.1152 0.0883
```

Properties
The calculation puts the density at 10.62 g/cm3. Its space group is Pmc2_1, No. 26. The density of states at the Fermi level is 0.5413 states/eV/atom. The calculated total energy comes out at -77.40 eV per cell.


# 3
Hf2Al4Pt | GGA-PBE | optimized geometry

The structure in POSCAR format:
```
Hf2Al4Pt
1.0
-1.2737 -3.1498 -3.3623
0.2048 -3.5237 3.2234
-7.0743 -2.3210 1.4565
Al Hf Pt
4 2 1
Cartesian
-0.6369 -1.5749 -1.6812
0.1024 -1.7618 1.6117
-3.4741 -6.3000 0.4223
-4.6691 -2.6946 0.8953
-6.1333 -5.8869 1.0428
-2.0099 -3.1076 0.2748
0.0000 0.0000 0.0000
```

Properties
The calculation puts the density at 7.06 g/cm3. Its space group is I4/mmm, No. 139. The density of states at the Fermi level is 0.9430 states/eV/atom. The calculated total energy comes out at -39.52 eV per cell.


# 4
HfAl3Pt | GGA-PBE | optimized geometry

The structure in POSCAR format:
```
HfAl3Pt
1.0
4.7148 0.0000 0.0000
0.0000 4.7148 0.0000
0.0000 0.0000 4.7148
Al Hf Pt
3 1 1
Cartesian
0.0000 2.3574 0.0000
0.0000 0.0000 2.3574
2.3574 0.0000 0.0000
2.3574 2.3574 2.3574
0.0000 0.0000 0.0000
```

Properties
The calculation puts the density at 7.20 g/cm3. Its space group is Pm-3m, No. 221. As for the polymorph energy (0 for the lowest one): 0.0 meV per atom. The density of states at the Fermi level is 0.6992 states/eV/atom.


# 5
Hf2Al3Pt | GGA-PBE | optimized geometry

The structure in POSCAR format:
```
Hf2Al3Pt
1.0
-3.5474 -2.5825 -2.9593
1.3859 -1.9059 4.7390
-1.2076 4.5667 2.1882
Al Hf Pt
3 2 1
Cartesian
-1.6846 0.0391 1.9839
-2.3775 0.9921 -0.3855
-0.6038 2.2833 1.0941
-2.2814 -2.0885 -0.1758
-1.0877 2.1668 4.1437
0.0000 0.0000 0.0000
```

Properties
The calculation puts the density at 10.28 g/cm3. Its space group is R-3m, No. 166. The density of states at the Fermi level is 0.7228 states/eV/atom. The calculated total energy comes out at -41.68 eV per cell.


# 6
HfAlPt3 | GGA-PBE | optimized geometry

The structure in POSCAR format:
```
HfAlPt3
1.0
-1.2407 -1.4014 -4.1449
-2.6050 -3.2249 1.8701
-3.5154 2.8843 0.0771
Pt Hf Al
3 1 1
Cartesian
-1.3025 -1.6124 0.9351
-1.7577 1.4422 0.0385
-0.6203 -0.7007 -2.0724
-3.6805 -0.8710 -1.0988
0.0000 0.0000 0.0000
```

Properties
The calculation puts the density at 13.96 g/cm3. Its space group is Pm-3m, No. 221. As for the polymorph energy (0 for the lowest one): 918.7 meV per atom. The density of states at the Fermi level is 0.6273 states/eV/atom.


# 7
HfAlPt | GGA-PBE | optimized geometry

The structure in POSCAR format:
```
HfAlPt
1.0
-3.1709 0.9809 2.8792
-0.9465 -2.7891 3.2606
1.0369 1.0310 4.1435
Hf Al Pt
1 1 1
Cartesian
-1.5402 -0.3886 5.1417
0.0000 0.0000 0.0000
-0.7701 -0.1943 2.5708
```

Properties
The calculation puts the density at 11.09 g/cm3. Its space group is F-43m, No. 216. The density of states at the Fermi level is 1.4917 states/eV/atom. The calculated total energy comes out at -22.38 eV per cell.


# 8
HfAl6Pt | GGA-PBE | optimized geometry

The structure in POSCAR format:
```
HfAl6Pt
1.0
-4.1024 -3.7067 0.3090
2.5572 -1.0720 -4.7933
2.5128 -4.8754 0.7622
Pt Hf Al
1 1 6
Cartesian
0.0000 0.0000 0.0000
0.4838 -4.8271 -1.8611
1.9191 -2.7479 -3.1239
2.7484 -5.4425 -3.4330
-1.7808 -4.2116 -0.2892
-0.0683 -2.1387 -1.1935
1.0359 -7.5155 -2.5287
-0.9515 -6.9063 -0.5982
```

Properties
The calculation puts the density at 6.00 g/cm3. Its space group is R-3m, No. 166. The density of states at the Fermi level is 0.3790 states/eV/atom. The calculated total energy comes out at -41.27 eV per cell.


# 9
HfAl2Pt2 | GGA-PBE | optimized geometry

The structure in POSCAR format:
```
HfAl2Pt2
1.0
-3.4764 6.7071 -0.3357
-5.4580 -2.6017 4.5413
1.4827 0.8830 2.2879
Al Pt Hf
4 4 2
Cartesian
-1.3091 2.3279 1.7448
-4.0558 5.2007 2.4161
-6.1425 2.6605 4.7488
-3.3958 -0.2123 4.0775
-2.9672 3.9183 0.4107
-2.4564 -0.0203 1.5998
-5.9672 0.1871 3.7950
-6.4780 4.1257 2.6059
0.0000 0.0000 0.0000
-4.4672 2.0527 2.1028
```

Properties
The calculation puts the density at 12.62 g/cm3. Its space group is P4/mbm, No. 127. As for the polymorph energy (0 for the lowest one): 70.4 meV per atom. The density of states at the Fermi level is 0.6655 states/eV/atom.


# 10
HfAl2Pt2 | GGA-PBE | optimized geometry

The structure in POSCAR format:
```
HfAl2Pt2
1.0
7.6138 0.0000 0.0000
0.0000 7.6138 0.0000
0.0000 0.0000 2.7770
Al Hf Pt
4 2 4
Cartesian
6.6414 4.7793 0.0000
2.8345 6.6414 0.0000
0.9724 2.8345 0.0000
4.7793 0.9724 0.0000
0.0000 0.0000 0.0000
3.8069 3.8069 0.0000
5.0897 6.3310 1.3885
6.3310 2.5241 1.3885
1.2828 5.0897 1.3885
2.5241 1.2828 1.3885
```

Properties
The calculation puts the density at 12.84 g/cm3. Its space group is P4/mbm, No. 127. As for the polymorph energy (0 for the lowest one): 51.6 meV per atom. The density of states at the Fermi level is 0.5633 states/eV/atom.


# 11
HfAl2Pt | GGA-PBE | optimized geometry

The structure in POSCAR format:
```
HfAl2Pt
1.0
5.3416 0.0000 0.0000
0.0000 6.6643 0.0000
0.0000 0.0000 15.4744
Pt Al Hf
8 16 8
Cartesian
2.7665 1.6661 8.8623
2.5751 4.9982 6.6122
3.8080 4.9982 2.6613
4.2045 4.9982 10.3985
5.2459 1.6661 1.1250
1.1371 1.6661 5.0760
1.5337 1.6661 12.8132
0.0957 4.9982 14.3494
1.2042 3.0066 7.2719
1.2042 0.3256 7.2719
0.2357 6.3225 12.1163
0.2357 3.6740 12.1163
2.9065 0.3418 11.0954
2.4352 6.3225 4.3791
4.1374 6.3387 8.2026
1.4666 0.3256 15.0091
3.8750 6.3387 0.4654
2.9065 2.9903 11.0954
5.1060 0.3418 3.3582
2.4352 3.6740 4.3791
1.4666 3.0066 15.0091
3.8750 3.6578 0.4654
5.1060 2.9903 3.3582
4.1374 3.6578 8.2026
3.9003 1.6661 6.0310
4.1121 1.6661 13.7682
2.8861 4.9982 13.2776
2.4555 1.6661 2.1968
1.4413 4.9982 9.4434
5.1263 4.9982 5.5404
0.2153 1.6661 9.9340
1.2295 4.9982 1.7062
```

Properties
The calculation puts the density at 10.31 g/cm3. Its space group is Pnma, No. 62. The density of states at the Fermi level is 0.4161 states/eV/atom. The calculated total energy comes out at -213.91 eV per cell.


# 12
HfAl2Pt | GGA-PBE | optimized geometry

The structure in POSCAR format:
```
HfAl2Pt
1.0
5.3715 0.0000 0.0000
0.0000 6.7069 0.0000
0.0000 0.0000 7.7091
Pt Hf Al
4 4 8
Cartesian
0.6556 5.0301 0.7071
2.0302 5.0301 4.5617
3.3413 1.6767 3.1474
4.7159 1.6767 7.0020
0.5953 1.6767 4.0658
3.2811 5.0301 7.4978
2.0904 1.6767 0.2113
4.7762 5.0301 3.6433
0.5991 6.3646 6.2352
4.7724 0.3423 1.4740
2.0866 6.3646 2.3806
2.0866 3.6957 2.3806
0.5991 3.6957 6.2352
4.7724 3.0112 1.4740
3.2849 0.3423 5.3285
3.2849 3.0112 5.3285
```

Properties
The calculation puts the density at 10.23 g/cm3. Its space group is Pnma, No. 62. The density of states at the Fermi level is 0.4045 states/eV/atom. The calculated total energy comes out at -106.43 eV per cell.


# 13
HfScAl2Pt | GGA-PBE | optimized geometry

The structure in POSCAR format:
```
HfScAl2Pt
1.0
4.9123 0.0000 0.0000
0.0000 4.7220 0.0000
0.0000 0.0000 4.9123
Sc Hf Al Pt
1 1 2 1
Cartesian
0.0000 0.0000 0.0000
0.0000 2.3610 0.0000
2.4561 0.0000 0.0000
0.0000 0.0000 2.4561
2.4561 2.3610 2.4561
```

Properties
The calculation puts the density at 6.89 g/cm3. Its space group is P4/mmm, No. 123. The density of states at the Fermi level is 0.8583 states/eV/atom. The calculated total energy comes out at -23.69 eV per cell.


# 14
HfScAlPt2 | GGA-PBE | optimized geometry

The structure in POSCAR format:
```
HfScAlPt2
1.0
4.8952 0.0000 0.0000
0.0000 5.0447 0.0000
0.0000 0.0000 4.8952
Pt Hf Sc Al
2 1 1 1
Cartesian
0.0000 0.0000 2.4476
2.4476 0.0000 0.0000
0.0000 0.0000 0.0000
2.4476 2.5224 2.4476
0.0000 2.5224 0.0000
```

Properties
The calculation puts the density at 8.80 g/cm3. Its space group is P4/mmm, No. 123. The density of states at the Fermi level is 0.7919 states/eV/atom. The calculated total energy comes out at -30.63 eV per cell.


# 15
Sm2HfAl4Pt3 | GGA-PBE | optimized geometry

The structure in POSCAR format:
```
Sm2HfAl4Pt3
1.0
4.1832 0.0000 0.0000
0.0000 4.1832 0.0000
0.0000 0.0000 11.3540
Sm Hf Pt Al
2 1 3 4
Cartesian
0.0000 2.0916 8.6189
2.0916 0.0000 2.7350
2.0916 2.0916 5.6770
0.0000 0.0000 5.6770
2.0916 0.0000 9.9164
0.0000 2.0916 1.4375
2.0916 2.0916 0.0000
2.0916 0.0000 7.4508
0.0000 2.0916 3.9032
0.0000 0.0000 0.0000
```

Properties
The calculation puts the density at 9.80 g/cm3. Its space group is P-4m2, No. 115. The density of states at the Fermi level is 0.6097 states/eV/atom. The calculated total energy comes out at -61.71 eV per cell.


# 16
HfAlSn2Pt | GGA-PBE | optimized geometry

The structure in POSCAR format:
```
HfAlSn2Pt
1.0
5.5424 0.0000 0.0000
0.0000 4.9526 0.0000
0.0000 0.0000 5.5424
Sn Al Hf Pt
2 1 1 1
Cartesian
0.0000 0.0000 2.7712
2.7712 0.0000 0.0000
2.7712 2.4763 2.7712
0.0000 0.0000 0.0000
0.0000 2.4763 0.0000
```

Properties
The calculation puts the density at 6.96 g/cm3. Its space group is P4/mmm, No. 123. The density of states at the Fermi level is 0.5658 states/eV/atom. The calculated total energy comes out at -24.78 eV per cell.


# 17
HfAl2SnPt | GGA-PBE | optimized geometry

The structure in POSCAR format:
```
HfAl2SnPt
1.0
-1.1134 2.8280 -4.2862
2.6053 -3.1508 -2.7557
-4.3198 -2.8871 -0.7828
Hf Al Pt Sn
1 2 1 1
Cartesian
0.0000 0.0000 0.0000
-0.5567 1.4140 -2.1431
-2.1599 -1.4436 -0.3914
1.3026 -1.5754 -1.3779
-1.4140 -1.6050 -3.9123
```

Properties
The calculation puts the density at 6.66 g/cm3. Its space group is P4/mmm, No. 123. The density of states at the Fermi level is 0.9155 states/eV/atom. The calculated total energy comes out at -24.09 eV per cell.


# 18
SrHfAlPt2 | GGA-PBE | optimized geometry

The structure in POSCAR format:
```
SrHfAlPt2
1.0
-2.5455 -2.5173 2.3890
3.4011 -1.2199 2.3384
-1.3751 6.3558 1.3551
Hf Pt Sr Al
1 2 1 1
Cartesian
1.2269 1.6337 3.0286
-0.7244 3.4314 2.8438
0.2049 -0.8127 3.2387
0.0000 0.0000 0.0000
-1.7464 0.9850 3.0539
```

Properties
The calculation puts the density at 10.37 g/cm3. Its space group is I-4m2, No. 119. The density of states at the Fermi level is 0.9265 states/eV/atom. The calculated total energy comes out at -32.15 eV per cell.


# 19
Tb2HfAl4Pt3 | GGA-PBE | optimized geometry

The structure in POSCAR format:
```
Tb2HfAl4Pt3
1.0
-0.5080 0.0131 4.1072
-0.3720 -4.1216 -0.0328
11.2596 -1.0273 1.3959
Pt Tb Al Hf
3 2 4 1
Cartesian
9.5577 -0.8886 3.2700
1.2619 -2.1929 0.1631
5.6298 -0.5136 0.6980
8.3510 -2.8397 1.0420
2.4686 -0.2418 2.3911
3.6813 -2.4137 0.4630
-0.4400 -2.0543 2.0372
7.1383 -0.6679 2.9701
0.0000 0.0000 0.0000
5.1898 -2.5679 2.7351
```

Properties
The calculation puts the density at 10.12 g/cm3. Its space group is P-4m2, No. 115. The density of states at the Fermi level is 0.6369 states/eV/atom. The calculated total energy comes out at -61.55 eV per cell.


# 20
HfAlTePt2 | GGA-PBE | optimized geometry

The structure in POSCAR format:
```
HfAlTePt2
1.0
-1.4622 3.7991 2.1089
-4.2496 -1.7145 0.1422
1.0239 -2.1567 4.5952
Hf Te Al Pt
1 1 1 2
Cartesian
-2.3440 -0.0361 3.4231
0.5120 -1.0784 2.2976
0.0000 0.0000 0.0000
-2.1248 -0.8573 0.0711
-0.7311 1.8996 1.0545
```

Properties
The calculation puts the density at 11.03 g/cm3. The uncorrected formation energy comes out at 1.37 eV per formula unit. Its space group is P4/mmm, No. 123. The density of states at the Fermi level is 0.8885 states/eV/atom.